Computed, not measured: a relaxed structure of Sc2MnRu at the PBE level of DFT.

Summary:
N(E_F) in states/eV/f.u.: 3.23
Magnetization in μB/f.u.: 2.74
Formation energy from the elements in eV/atom: -0.2618

a b c (Å): 4.5486 4.5486 3.2907
angles (deg): 90.00 90.00 90.00
Space group P4/mmm (No. 123)
Symmetry-distinct sites (fractional):
Sc1 0.0000 0.5000 0.0000
Mn1 0.0000 0.0000 0.5000
Ru1 0.5000 0.5000 0.5000

---

Computed, not measured: a relaxed structure of ScMnRu at the PBE level of DFT.

Summary:
N(E_F) in states/eV/f.u.: 3.08
Energy above the lowest structure with this stoichiometry in meV/atom: 0
Magnetization in μB/f.u.: 1.82
Formation energy from the elements in eV/atom: -0.3001

a b c (Å): 5.0361 5.2397 7.1065
angles (deg): 90.00 90.00 90.00
Space group Imma (No. 74)
Symmetry-distinct sites (fractional):
Sc1 0.0000 0.2500 0.1255
Mn1 0.2500 0.2500 0.7500
Ru1 0.0000 0.0000 0.5000

---

Computed, not measured: a relaxed structure of ScMn2Ru2 at the PBE level of DFT.

Summary:
N(E_F) in states/eV/f.u.: 6.37
Energy above the lowest structure with this stoichiometry in meV/atom: 56
Magnetization in μB/f.u.: 3.14
Formation energy from the elements in eV/atom: 0.0601

a b c (Å): 7.2714 7.2714 2.7488
angles (deg): 90.00 90.00 90.00
Space group P4/mbm (No. 127)
Symmetry-distinct sites (fractional):
Sc1 0.0000 0.0000 0.0000
Mn1 0.1665 0.3335 0.5000
Ru1 0.1298 0.6298 0.0000

---

Computed, not measured: a relaxed structure of ScMnRu at the PBE level of DFT.

Summary:
N(E_F) in states/eV/f.u.: 3.08
Energy above the lowest structure with this stoichiometry in meV/atom: 113
Magnetization in μB/f.u.: 3.11
Formation energy from the elements in eV/atom: -0.1870

a b c (Å): 3.1998 13.5865 4.4015
angles (deg): 90.00 90.00 90.00
Space group Cmcm (No. 63)
Symmetry-distinct sites (fractional):
Sc1 0.0000 0.0844 0.2500
Mn1 0.0000 0.2350 0.7500
Ru1 0.0000 0.4101 0.2500

---

Computed, not measured: a relaxed structure of Sc2MnRu at the PBE level of DFT.

Summary:
N(E_F) in states/eV/f.u.: 4.30
Magnetization in μB/f.u.: 2.65
Formation energy from the elements in eV/atom: 0.3293

a b c (Å): 3.0150 3.0150 27.5721
angles (deg): 90.00 90.00 120.00
Space group R-3m (No. 166, hexagonal axes)
Symmetry-distinct sites (fractional):
Sc1 0.0000 0.0000 0.0858
Mn1 0.0000 0.0000 0.5000
Ru1 0.0000 0.0000 0.0000

---

Computed, not measured: a relaxed structure of ScMn3Ru at the PBE level of DFT.

Summary:
N(E_F) in states/eV/f.u.: 11.93
Energy above the lowest structure with this stoichiometry in meV/atom: 1099
Magnetization in μB/f.u.: 0.00
Formation energy from the elements in eV/atom: 1.9351

a b c (Å): 4.1959 4.1959 4.1959
angles (deg): 90.00 90.00 90.00
Space group Pm-3m (No. 221)
Symmetry-distinct sites (fractional):
Sc1 0.0000 0.0000 0.0000
Mn1 0.0000 0.0000 0.5000
Ru1 0.5000 0.5000 0.5000

---

Computed, not measured: a relaxed structure of ScMnRu at the PBE level of DFT.

Summary:
N(E_F) in states/eV/f.u.: 2.73
Energy above the lowest structure with this stoichiometry in meV/atom: 988
Magnetization in μB/f.u.: 4.05
Formation energy from the elements in eV/atom: 0.6878

a b c (Å): 6.0864 6.0864 6.0864
angles (deg): 90.00 90.00 90.00
Space group F-43m (No. 216)
Symmetry-distinct sites (fractional):
Sc1 0.0000 0.0000 0.0000
Mn1 0.2500 0.2500 0.2500
Ru1 0.2500 0.2500 0.7500

---

Computed, not measured: a relaxed structure of ScMnSi2Ru at the PBE level of DFT.

Summary:
N(E_F) in states/eV/f.u.: 1.55
Magnetization in μB/f.u.: 2.74
Energy relative to the elements, uncorrected in meV/atom: -691

a b c (Å): 3.8987 3.8987 10.1385
angles (deg): 90.00 90.00 90.00
Space group I-4m2 (No. 119)
Symmetry-distinct sites (fractional):
Sc1 0.0000 0.0000 0.0000
Mn1 0.0000 0.5000 0.2500
Si1 0.0000 0.0000 0.3842
Ru1 0.0000 0.5000 0.7500

---

Computed, not measured: a relaxed structure of ScMnSnRu at the PBE level of DFT.

Summary:
N(E_F) in states/eV/f.u.: 4.44
Magnetization in μB/f.u.: 3.38
Formation energy from the elements in eV/atom: -0.2844

a b c (Å): 6.4691 6.4691 6.4691
angles (deg): 90.00 90.00 90.00
Space group F-43m (No. 216)
Symmetry-distinct sites (fractional):
Sc1 0.0000 0.0000 0.0000
Mn1 0.2500 0.2500 0.2500
Sn1 0.0000 0.0000 0.5000
Ru1 0.2500 0.2500 0.7500

---

Computed, not measured: a relaxed structure of SrSc2MnRu at the PBE level of DFT.

Summary:
N(E_F) in states/eV/f.u.: 8.37
Magnetization in μB/f.u.: 0.09
Formation energy from the elements in eV/atom: 2.1847

a b c (Å): 5.0180 5.0180 4.5970
angles (deg): 90.00 90.00 90.00
Space group P4/mmm (No. 123)
Symmetry-distinct sites (fractional):
Sr1 0.0000 0.0000 0.0000
Sc1 0.0000 0.5000 0.0000
Mn1 0.5000 0.5000 0.5000
Ru1 0.0000 0.0000 0.5000

---

Computed, not measured: a relaxed structure of ScMnTcRu at the PBE level of DFT.

Summary:
N(E_F) in states/eV/f.u.: 5.60
Magnetization in μB/f.u.: 1.89
Formation energy from the elements in eV/atom: -0.0698

a b c (Å): 6.2032 6.2032 6.2032
angles (deg): 90.00 90.00 90.00
Space group F-43m (No. 216)
Symmetry-distinct sites (fractional):
Sc1 0.0000 0.0000 0.0000
Mn1 0.0000 0.0000 0.5000
Tc1 0.2500 0.2500 0.7500
Ru1 0.2500 0.2500 0.2500

---

Computed, not measured: a relaxed structure of Sc2MnTcRu at the PBE level of DFT.

Summary:
N(E_F) in states/eV/f.u.: 4.54
Magnetization in μB/f.u.: 1.57
Formation energy from the elements in eV/atom: 0.8219

a b c (Å): 4.8945 4.8945 4.3403
angles (deg): 90.00 90.00 90.00
Space group P4/mmm (No. 123)
Symmetry-distinct sites (fractional):
Sc1 0.0000 0.5000 0.0000
Mn1 0.0000 0.0000 0.5000
Tc1 0.0000 0.0000 0.0000
Ru1 0.5000 0.5000 0.5000

---

Look up the magnetization of the ninth one. 3.38 μB/f.u.

---

Which formula does entry 1 have? Sc2MnRu

---

Which of these has the lowest magnetization? ScMn3Ru

---

Which value of magnetization does entry 12 give? 1.57 μB/f.u.